(a)
DFT (PBE) results for a geometry-optimized RbTe4As2 structure.

SG: P1 (1)
Size of the total moment: 0.0 Bohr magnetons per cell
ρ: 4.2 g/cm3

Cell: 7.166 9.607 10.127 Å, 108.85 102.89 106.61°
Fractional coordinates of all 14 atoms:
Rb 0.000 0.000 0.000
Rb 0.212 0.746 0.352
Te 0.258 0.255 0.474
Te 0.288 0.338 0.890
Te 0.372 0.725 0.737
Te 0.588 0.149 0.424
Te 0.695 0.798 0.208
Te 0.746 0.347 0.142
Te 0.797 0.657 0.587
Te 0.933 0.413 0.840
As 0.005 0.472 0.609
As 0.503 0.512 0.182
As 0.547 0.514 0.706
As 0.554 0.071 0.147

(b)
DFT (PBE) results for a geometry-optimized RbTe4As2 structure.

SG: Cmcm (63)
Size of the total moment: 0.0 Bohr magnetons per cell
ρ: 5.4 g/cm3

Cell: 7.043 7.043 16.801 Å, 90.00 90.00 146.48°
Fractional coordinates of all 14 atoms:
Rb 0.072 0.928 0.750
Rb 0.928 0.072 0.250
Te 0.000 0.000 0.000
Te 0.000 0.000 0.500
Te 0.289 0.711 0.093
Te 0.289 0.711 0.407
Te 0.349 0.651 0.750
Te 0.651 0.349 0.250
Te 0.711 0.289 0.593
Te 0.711 0.289 0.907
As 0.353 0.647 0.563
As 0.353 0.647 0.937
As 0.647 0.353 0.063
As 0.647 0.353 0.437

Which structure is most stable, and how do the rest compare? From most to least stable: (a), (b).

(a)
DFT (PBE) results for a geometry-optimized Rb3TeAs structure.

SG: P-1 (2)
Size of the total moment: 0.0 Bohr magnetons per cell
ρ: 3.5 g/cm3

Cell: 4.761 9.920 9.990 Å, 71.03 90.00 76.16°
Fractional coordinates of all 10 atoms:
Rb 0.080 0.340 0.132
Rb 0.216 0.067 0.816
Rb 0.411 0.678 0.523
Rb 0.589 0.322 0.477
Rb 0.784 0.933 0.184
Rb 0.920 0.660 0.868
Te 0.418 0.664 0.152
Te 0.582 0.336 0.848
As 0.222 0.057 0.463
As 0.778 0.943 0.537

(b)
DFT (PBE) results for a geometry-optimized Rb3TeAs structure.

SG: Pm-3m (221)
Size of the total moment: 2.0 Bohr magnetons per cell
ρ: 2.3 g/cm3

Cell: 6.917 6.917 6.917 Å, 90.00 90.00 90.00°
Fractional coordinates of all 5 atoms:
Rb 0.000 0.000 0.500
Rb 0.000 0.500 0.000
Rb 0.500 0.000 0.000
Te 0.000 0.000 0.000
As 0.500 0.500 0.500

Which structure is most stable, and how do the rest compare? From most to least stable: (a), (b).

(a)
DFT (PBE) results for a geometry-optimized RbTiAs2 structure.

SG: Fm-3m (225)
Size of the total moment: 0.0 Bohr magnetons per cell
ρ: 5.2 g/cm3

Cell: 5.028 5.028 5.028 Å, 60.00 60.00 60.00°
Fractional coordinates of all 4 atoms:
Rb 0.000 0.000 0.000
Ti 0.500 0.500 0.500
As 0.250 0.250 0.250
As 0.750 0.750 0.750

(b)
DFT (PBE) results for a geometry-optimized RbTiAs2 structure.

SG: I4_1/amd (141)
Size of the total moment: 0.0 Bohr magnetons per cell
ρ: 3.3 g/cm3

Cell: 8.592 8.592 8.592 Å, 137.47 137.47 61.71°
Fractional coordinates of all 8 atoms:
Rb 0.375 0.625 0.750
Rb 0.625 0.375 0.250
Ti 0.125 0.875 0.250
Ti 0.875 0.125 0.750
As 0.000 0.000 0.000
As 0.000 0.000 0.500
As 0.000 0.500 0.000
As 0.500 0.000 0.500

(c)
DFT (PBE) results for a geometry-optimized RbTiAs2 structure.

SG: R-3m (166)
Size of the total moment: 0.0 Bohr magnetons per cell
ρ: 4.5 g/cm3

Cell: 8.135 8.135 8.135 Å, 27.83 27.83 27.83°
Fractional coordinates of all 4 atoms:
Rb 0.000 0.000 0.000
Ti 0.500 0.500 0.500
As 0.222 0.222 0.222
As 0.778 0.778 0.778

Which structure is most stable, and how do the rest compare? From most to least stable: (c), (b), (a).

(a)
DFT (PBE) results for a geometry-optimized RbTl3As3 structure.

SG: R-3 (148)
Size of the total moment: 0.0 Bohr magnetons per cell
ρ: 6.8 g/cm3

Cell: 8.035 8.035 8.035 Å, 70.85 70.85 70.85°
Fractional coordinates of all 14 atoms:
Rb 0.128 0.128 0.128
Rb 0.872 0.872 0.872
Tl 0.146 0.558 0.265
Tl 0.265 0.146 0.558
Tl 0.442 0.735 0.854
Tl 0.558 0.265 0.146
Tl 0.735 0.854 0.442
Tl 0.854 0.442 0.735
As 0.229 0.743 0.487
As 0.257 0.513 0.771
As 0.487 0.229 0.743
As 0.513 0.771 0.257
As 0.743 0.487 0.229
As 0.771 0.257 0.513

(b)
DFT (PBE) results for a geometry-optimized RbTl3As3 structure.

SG: Pm-3n (223)
Size of the total moment: 0.0 Bohr magnetons per cell
ρ: 6.1 g/cm3

Cell: 7.948 7.948 7.948 Å, 90.00 90.00 90.00°
Fractional coordinates of all 14 atoms:
Rb 0.000 0.000 0.000
Rb 0.500 0.500 0.500
Tl 0.000 0.250 0.500
Tl 0.000 0.750 0.500
Tl 0.250 0.500 0.000
Tl 0.500 0.000 0.250
Tl 0.500 0.000 0.750
Tl 0.750 0.500 0.000
As 0.000 0.500 0.250
As 0.000 0.500 0.750
As 0.250 0.000 0.500
As 0.500 0.250 0.000
As 0.500 0.750 0.000
As 0.750 0.000 0.500

Which structure is most stable, and how do the rest compare? From most to least stable: (a), (b).

(a)
DFT (PBE) results for a geometry-optimized RbTl3As structure.

SG: Pm-3m (221)
Size of the total moment: 0.0 Bohr magnetons per cell
ρ: 6.3 g/cm3

Cell: 5.882 5.882 5.882 Å, 90.00 90.00 90.00°
Fractional coordinates of all 5 atoms:
Rb 0.000 0.000 0.000
Tl 0.000 0.500 0.500
Tl 0.500 0.000 0.500
Tl 0.500 0.500 0.000
As 0.500 0.500 0.500

(b)
DFT (PBE) results for a geometry-optimized RbTl3As structure.

SG: Pmn2_1 (31)
Size of the total moment: 0.0 Bohr magnetons per cell
ρ: 7.4 g/cm3

Cell: 7.209 6.951 6.910 Å, 90.00 90.00 90.00°
Fractional coordinates of all 10 atoms:
Rb 0.000 0.230 0.000
Rb 0.500 0.770 0.500
Tl 0.000 0.878 0.378
Tl 0.246 0.726 0.996
Tl 0.254 0.274 0.496
Tl 0.500 0.122 0.878
Tl 0.746 0.274 0.496
Tl 0.754 0.726 0.996
As 0.000 0.586 0.657
As 0.500 0.414 0.157

Which structure is most stable, and how do the rest compare? From most to least stable: (b), (a).

(a)
DFT (PBE) results for a geometry-optimized Rb3TlAs structure.

SG: Pm-3m (221)
Size of the total moment: 1.3 Bohr magnetons per cell
ρ: 2.9 g/cm3

Cell: 6.738 6.738 6.738 Å, 90.00 90.00 90.00°
Fractional coordinates of all 5 atoms:
Rb 0.000 0.000 0.500
Rb 0.000 0.500 0.000
Rb 0.500 0.000 0.000
Tl 0.500 0.500 0.500
As 0.000 0.000 0.000

(b)
DFT (PBE) results for a geometry-optimized Rb3TlAs structure.

SG: Ima2 (46)
Size of the total moment: 1.5 Bohr magnetons per cell
ρ: 3.4 g/cm3

Cell: 8.865 8.865 8.865 Å, 101.63 114.77 112.30°
Fractional coordinates of all 10 atoms:
Rb 0.208 0.043 0.251
Rb 0.208 0.457 0.666
Rb 0.213 0.555 0.157
Rb 0.398 0.055 0.843
Rb 0.792 0.543 0.334
Rb 0.792 0.957 0.749
Tl 0.690 0.447 0.743
Tl 0.703 0.947 0.257
As 0.026 0.706 0.820
As 0.885 0.206 0.180

Which structure is most stable, and how do the rest compare? From most to least stable: (b), (a).